i | A plane-wave DFT calculation with PBE was carried out for crystalline TlRh3N at its relaxed geometry.

abc: 4.165 4.165 4.165
angles: 90.00 90.00 90.00
Element x y z (fractional)
Tl  0.000  0.000  0.000
Rh  0.000  0.500  0.500
Rh  0.500  0.000  0.500
Rh  0.500  0.500  0.000
N  0.500  0.500  0.500


ii | A plane-wave DFT calculation with PBE was carried out for crystalline TlRh3N at its relaxed geometry.

abc: 5.083 5.083 5.083
angles: 90.00 90.00 90.00
Element x y z (fractional)
Tl  0.000  0.000  0.000
Rh  0.000  0.000  0.500
Rh  0.000  0.500  0.000
Rh  0.500  0.000  0.000
N  0.500  0.500  0.500


Most stable structure, least stable structure: i, ii.